Crystalline CoHgNO at its relaxed geometry, computed with GGA+U.

Geometry as extended XYZ:
```
8
Lattice="3.3445 0.0000 0.0000 0.0000 6.0403 0.0000 0.0000 0.0000 5.5629" Properties=species:S:1:pos:R:3 pbc="T T T"
Co 0.0000 0.9127 0.0000
Co 0.0000 5.1276 2.7815
Hg 1.6723 1.9634 2.6893
Hg 1.6723 4.0768 5.4708
N 0.0000 0.6998 1.8550
N 0.0000 5.3405 4.6365
O 1.6723 1.8235 5.0968
O 1.6723 4.2168 2.3153
```

Offset from the most stable computed form: 13.8 meV/atom
Space group: Pmc2_1 (26)